! BaZn2In PBE-GGA optimized geometry; values from VASP
&SYSTEM
  ibrav = 0, nat = 4, ntyp = 3
/
ATOMIC_SPECIES
Ba 137.33 Ba.upf
Zn 65.41 Zn.upf
In 114.82 In.upf
CELL_PARAMETERS angstrom
-2.214 2.924 4.374
2.214 -2.924 4.374
2.214 2.924 -4.374
ATOMIC_POSITIONS crystal
Ba 0.000 0.000 0.000
Zn 0.294 0.794 0.500
Zn 0.453 0.453 0.000
In 0.695 0.195 0.500
! Symmetry ... Imm2
! Energy of formation ... -0.08 eV per atom
! E_tot ... -1.886 eV per atom
! Magnetic moment ... 0.0 μB per cell